ScMoPO2 PBE+U relaxed; space-group type = P4/mmm (123); VASP energy = -6.908 eV/atom; ΔE to the lowest computed polymorph = 0 meV/atom
1.0
3.908 0.000 0.000
0.000 3.908 0.000
0.000 0.000 5.214
Sc P Mo O
1 1 1 2
Direct
0.500 0.500 0.500
0.000 0.000 0.500
0.000 0.000 0.000
0.000 0.500 0.000
0.500 0.000 0.000